NdErTlAu | GGA-PBE | relaxed

Results
Calculated formation energy ... -0.6039 eV/atom
Energy relative to the lowest polymorph listed for this composition ... 0 meV/atom
Size of the total moment ... 0.00 μB/atom
Calculated volume ... 26.231 Å³ per atom

Cell lengths 3.657, 3.657, 7.845 Å; angles 90.00, 90.00, 90.00 degrees
Space group P4mm (No. 99)
Unique sites:
Nd (0.000, 0.000, 0.000) [1 per cell]
Er (0.000, 0.000, 0.460) [1 per cell]
Tl (0.500, 0.500, 0.722) [1 per cell]
Au (0.500, 0.500, 0.264) [1 per cell]